Run i
Te3RhS PBE-GGA relaxed; space group = No. 221; DOS(E_F) = 7.84 states/eV per cell
1.0
5.180 0.000 0.000
0.000 5.180 0.000
0.000 0.000 5.180
Te Rh S
3 1 1
Cartesian
0.000 0.000 2.590
0.000 2.590 0.000
2.590 0.000 0.000
0.000 0.000 0.000
2.590 2.590 2.590

***

Run ii
Te3RhS PBE-GGA relaxed; space group = No. 221; DOS(E_F) = 4.95 states/eV per cell
1.0
5.151 0.000 0.000
0.000 5.151 0.000
0.000 0.000 5.151
Te Rh S
3 1 1
Cartesian
0.000 0.000 2.576
0.000 2.576 0.000
2.576 0.000 0.000
2.576 2.576 2.576
0.000 0.000 0.000

***

Which one is the most stable? From the structures above, run i.